No. 1
The following is a PBE calculation of BaCuIrSe3 after structural relaxation, from the Open Quantum Materials Database.

Summary:
As for the energy: -4.842 eV/atom.

abc: 6.980 6.980 9.876
angles: 90.00 90.00 145.93
Atoms (fractional coordinates):
Se (0.618, 0.382, 0.466)
Se (0.070, 0.930, 0.750)
Se (0.382, 0.618, 0.534)
Se (0.618, 0.382, 0.034)
Se (0.930, 0.070, 0.250)
Se (0.382, 0.618, 0.966)
Ba (0.232, 0.768, 0.250)
Ba (0.768, 0.232, 0.750)
Ir (0.000, 0.000, 0.000)
Ir (0.000, 0.000, 0.500)
Cu (0.473, 0.527, 0.750)
Cu (0.527, 0.473, 0.250)

=====

No. 2
The following is a PBE calculation of LuCoNiSb after structural relaxation, from the Open Quantum Materials Database.

Summary:
The calculation puts the relative energy among the computed polymorphs at 447 meV per atom.

abc: 4.618 4.618 4.618
angles: 60.00 60.00 60.00
Atoms (fractional coordinates):
Sb (0.000, 0.000, 0.000)
Ni (0.750, 0.750, 0.750)
Co (0.500, 0.500, 0.500)
Lu (0.250, 0.250, 0.250)

=====

No. 3
The following is a PBE calculation of ZnInI3 after structural relaxation, from the Open Quantum Materials Database.

Summary:
As for the energy: -2.254 eV/atom.

abc: 7.096 7.261 8.888
angles: 70.31 87.92 81.74
Atoms (fractional coordinates):
I (0.462, 0.524, 0.729)
I (0.618, 0.209, 0.402)
I (0.944, 0.499, 0.986)
I (0.426, 0.831, 0.194)
I (0.125, 0.055, 0.765)
I (0.954, 0.647, 0.452)
Zn (0.600, 0.555, 0.437)
Zn (0.105, 0.427, 0.740)
In (0.136, 0.161, 0.349)
In (0.644, 0.951, 0.820)

=====

No. 4
The following is a PBE calculation of ZnFeW4N2 after structural relaxation, from the Open Quantum Materials Database.

Summary:
As for the energy: -9.625 eV/atom.

abc: 2.813 2.813 14.669
angles: 90.00 90.00 120.00
Atoms (fractional coordinates):
Zn (0.333, 0.667, 0.500)
W (0.000, 0.000, 0.344)
W (0.333, 0.667, 0.146)
W (0.333, 0.667, 0.854)
W (0.000, 0.000, 0.656)
Fe (0.000, 0.000, 0.000)
N (0.667, 0.333, 0.754)
N (0.667, 0.333, 0.246)

=====

No. 5
The following is a PBE calculation of ErMgAl4Ir2 after structural relaxation, from the Open Quantum Materials Database.

Summary:
As for the energy: -4.657 eV/atom.

abc: 6.298 7.590 7.590
angles: 36.65 90.00 90.00
Atoms (fractional coordinates):
Ir (0.000, 0.799, 0.799)
Ir (0.000, 0.201, 0.201)
Al (0.299, 0.099, 0.099)
Al (0.284, 0.910, 0.910)
Al (0.701, 0.099, 0.099)
Al (0.716, 0.910, 0.910)
Mg (0.000, 0.381, 0.381)
Er (0.000, 0.600, 0.600)

=====

No. 6
The following is a PBE calculation of YInAu2 after structural relaxation, from the Open Quantum Materials Database.

Summary:
As for the energy: -4.512 eV/atom.

abc: 6.416 7.282 7.817
angles: 90.00 90.00 90.00
Atoms (fractional coordinates):
Au (0.449, 0.044, 0.780)
Au (0.051, 0.044, 0.280)
Au (0.449, 0.456, 0.780)
Au (0.051, 0.456, 0.280)
Au (0.949, 0.544, 0.720)
Au (0.949, 0.956, 0.720)
Au (0.551, 0.956, 0.220)
Au (0.551, 0.544, 0.220)
Y (0.179, 0.750, 0.023)
Y (0.679, 0.250, 0.477)
Y (0.321, 0.750, 0.523)
Y (0.821, 0.250, 0.977)
In (0.330, 0.250, 0.084)
In (0.170, 0.250, 0.584)
In (0.830, 0.750, 0.416)
In (0.670, 0.750, 0.916)

=====

No. 7
The following is a PBE calculation of NbBiN2O after structural relaxation, from the Open Quantum Materials Database.

Summary:
As for the energy: -7.812 eV/atom.

abc: 5.733 5.743 9.905
angles: 73.60 73.82 60.81
Atoms (fractional coordinates):
O (0.593, 0.095, 0.083)
O (0.967, 0.765, 0.875)
O (0.827, 0.341, 0.847)
O (0.492, 0.268, 0.359)
Bi (0.088, 0.168, 0.633)
Bi (0.920, 0.839, 0.380)
Bi (0.580, 0.658, 0.129)
Bi (0.396, 0.346, 0.879)
Nb (0.011, 0.008, 0.012)
Nb (0.233, 0.259, 0.263)
Nb (0.740, 0.783, 0.748)
Nb (0.491, 0.531, 0.510)
N (0.150, 0.653, 0.152)
N (0.663, 0.146, 0.647)
N (0.367, 0.833, 0.336)
N (0.389, 0.915, 0.895)
N (0.918, 0.381, 0.408)
N (0.104, 0.577, 0.599)
N (0.537, 0.716, 0.623)
N (0.035, 0.217, 0.123)

=====

No. 8
The following is a PBE calculation of ScReNiB after structural relaxation, from the Open Quantum Materials Database.

Summary:
The calculation puts the relative energy among the computed polymorphs at 637 meV per atom.

abc: 4.229 4.229 4.229
angles: 60.00 60.00 60.00
Atoms (fractional coordinates):
Ni (0.750, 0.750, 0.750)
Sc (0.250, 0.250, 0.250)
Re (0.500, 0.500, 0.500)
B (0.000, 0.000, 0.000)

=====

No. 9
The following is a PBE calculation of PrCu6 after structural relaxation, from the Open Quantum Materials Database.

Summary:
The value obtained for the energy of formation is -0.082 eV per atom. The calculation puts the relative energy among the computed polymorphs at 42 meV per atom.

abc: 5.125 5.125 8.024
angles: 96.70 96.70 89.14
Atoms (fractional coordinates):
Cu (0.773, 0.632, 0.586)
Cu (0.170, 0.029, 0.132)
Cu (0.552, 0.171, 0.626)
Cu (0.830, 0.971, 0.868)
Cu (0.171, 0.552, 0.126)
Cu (0.829, 0.448, 0.874)
Cu (0.632, 0.773, 0.086)
Cu (0.227, 0.368, 0.414)
Cu (0.971, 0.830, 0.368)
Cu (0.448, 0.829, 0.374)
Cu (0.029, 0.170, 0.632)
Cu (0.368, 0.227, 0.914)
Pr (0.303, 0.697, 0.750)
Pr (0.697, 0.303, 0.250)

=====

No. 10
The following is a PBE calculation of Er2Ga4CuPd after structural relaxation, from the Open Quantum Materials Database.

Summary:
As for the energy: -4.425 eV/atom.

abc: 6.605 5.470 5.470
angles: 46.57 90.00 90.00
Atoms (fractional coordinates):
Er (0.500, 0.916, 0.916)
Er (0.000, 0.084, 0.084)
Pd (0.000, 0.796, 0.796)
Cu (0.500, 0.205, 0.205)
Ga (0.695, 0.628, 0.628)
Ga (0.799, 0.371, 0.371)
Ga (0.305, 0.628, 0.628)
Ga (0.201, 0.371, 0.371)

=====

No. 11
The following is a PBE calculation of Cd3Pd4PbO12 after structural relaxation, from the Open Quantum Materials Database.

Summary:
As for the energy: -4.872 eV/atom.

abc: 6.758 6.758 6.758
angles: 109.47 109.47 109.47
Atoms (fractional coordinates):
O (0.812, 0.523, 0.711)
O (0.711, 0.812, 0.523)
O (0.188, 0.477, 0.289)
O (0.102, 0.289, 0.812)
O (0.188, 0.898, 0.711)
O (0.812, 0.102, 0.289)
O (0.289, 0.188, 0.477)
O (0.477, 0.289, 0.188)
O (0.289, 0.812, 0.102)
O (0.711, 0.188, 0.898)
O (0.523, 0.711, 0.812)
O (0.898, 0.711, 0.188)
Pb (0.000, 0.000, 0.000)
Cd (0.500, 0.500, 0.000)
Cd (0.000, 0.500, 0.500)
Cd (0.500, 0.000, 0.500)
Pd (0.500, 0.500, 0.500)
Pd (0.000, 0.000, 0.500)
Pd (0.500, 0.000, 0.000)
Pd (0.000, 0.500, 0.000)

=====

No. 12
The following is a PBE calculation of PuPaNb after structural relaxation, from the Open Quantum Materials Database.

Summary:
The value obtained for the energy of formation is 0.684 eV per atom. The calculation puts the relative energy among the computed polymorphs at 0 meV per atom.

abc: 4.505 4.505 4.505
angles: 60.00 60.00 60.00
Atoms (fractional coordinates):
Pu (0.000, 0.000, 0.000)
Nb (0.250, 0.250, 0.250)
Pa (0.750, 0.750, 0.750)